An optimized crystal structure of ScAlCd2. Source: the Alexandria database, functional GGA-PBE.

Unit cell a=5.345 b=5.345 c=5.345 alpha=132.04 beta=132.08 gamma=70.13
Fractional positions:
Cd1 0.500 0.500 0.000
Cd2 0.000 0.000 0.000
Sc1 0.250 0.750 0.500
Al1 0.750 0.250 0.500

## Properties
The total DFT energy (no corrections) comes out at -3.136 eV per atom. The formation energy is -0.6 eV/f.u. Its total magnetization is 0.00 μB/f.u. As for the density of states at the Fermi level: 2.7 states/eV/f.u.